No. 1
Below is Y3CdSe after structural relaxation, with properties calculated at the PBE level.

Structure (CIF):
```
data_Y3CdSe
_chemical_formula_sum 'Y6 Cd2 Se2'
_space_group_name_H-M_alt 'P 1'
_space_group_IT_number 1
_cell_length_a 3.992
_cell_length_b 7.327
_cell_length_c 9.432
_cell_angle_alpha 101.68
_cell_angle_beta 90.00
_cell_angle_gamma 90.00
loop_
_space_group_symop_operation_xyz
'x,y,z'
loop_
_atom_site_label
_atom_site_type_symbol
_atom_site_fract_x
_atom_site_fract_y
_atom_site_fract_z
Se1 Se 0.750 0.734 0.419
Cd1 Cd 0.250 0.861 0.883
Y1 Y 0.750 0.549 0.682
Y2 Y 0.250 0.324 0.918
Y3 Y 0.750 0.676 0.082
Y4 Y 0.750 0.025 0.677
Cd2 Cd 0.750 0.139 0.117
Y5 Y 0.250 0.451 0.318
Y6 Y 0.250 0.975 0.323
Se2 Se 0.250 0.266 0.581
```

symmetry = P2_1/m, No. 11
crystal system = monoclinic
E_form (uncorrected) = -745 meV per atom
M_tot = 0.0 μB/cell

=====

No. 2
Below is YCdSe after structural relaxation, with properties calculated at the PBE level.

Structure (CIF):
```
data_YCdSe
_chemical_formula_sum 'Y1 Cd1 Se1'
_space_group_name_H-M_alt 'P 1'
_space_group_IT_number 1
_cell_length_a 4.011
_cell_length_b 4.011
_cell_length_c 6.253
_cell_angle_alpha 90.00
_cell_angle_beta 90.00
_cell_angle_gamma 120.00
loop_
_space_group_symop_operation_xyz
'x,y,z'
loop_
_atom_site_label
_atom_site_type_symbol
_atom_site_fract_x
_atom_site_fract_y
_atom_site_fract_z
Cd1 Cd 0.000 0.000 0.993
Y1 Y 0.333 0.667 0.628
Se1 Se 0.667 0.333 0.379
```

symmetry = P3m1, No. 156
crystal system = trigonal
E_form (uncorrected) = -799 meV per atom
M_tot = 0.0 μB/cell

=====

No. 3
Below is Y3CdSe after structural relaxation, with properties calculated at the PBE level.

Structure (CIF):
```
data_Y3CdSe
_chemical_formula_sum 'Y3 Cd1 Se1'
_space_group_name_H-M_alt 'P 1'
_space_group_IT_number 1
_cell_length_a 5.349
_cell_length_b 5.349
_cell_length_c 5.349
_cell_angle_alpha 90.00
_cell_angle_beta 90.00
_cell_angle_gamma 90.00
loop_
_space_group_symop_operation_xyz
'x,y,z'
loop_
_atom_site_label
_atom_site_type_symbol
_atom_site_fract_x
_atom_site_fract_y
_atom_site_fract_z
Y1 Y 0.500 0.000 0.000
Se1 Se 0.000 0.000 0.000
Cd1 Cd 0.500 0.500 0.500
Y2 Y 0.000 0.000 0.500
Y3 Y 0.000 0.500 0.000
```

symmetry = Pm-3m, No. 221
crystal system = cubic
E_form (uncorrected) = -563 meV per atom
M_tot = 0.0 μB/cell

=====

No. 4
Below is Y2Cd2Se after structural relaxation, with properties calculated at the PBE level.

Structure (CIF):
```
data_Y2Cd2Se
_chemical_formula_sum 'Y4 Cd4 Se2'
_space_group_name_H-M_alt 'P 1'
_space_group_IT_number 1
_cell_length_a 7.524
_cell_length_b 7.524
_cell_length_c 4.951
_cell_angle_alpha 90.00
_cell_angle_beta 90.00
_cell_angle_gamma 90.00
loop_
_space_group_symop_operation_xyz
'x,y,z'
loop_
_atom_site_label
_atom_site_type_symbol
_atom_site_fract_x
_atom_site_fract_y
_atom_site_fract_z
Cd1 Cd 0.365 0.135 0.500
Se1 Se 0.000 0.000 0.000
Y1 Y 0.668 0.168 0.000
Se2 Se 0.500 0.500 0.000
Cd2 Cd 0.635 0.865 0.500
Y2 Y 0.332 0.832 0.000
Y3 Y 0.168 0.332 0.000
Y4 Y 0.832 0.668 0.000
Cd3 Cd 0.135 0.635 0.500
Cd4 Cd 0.865 0.365 0.500
```

symmetry = P4/mbm, No. 127
crystal system = tetragonal
E_form (uncorrected) = -668 meV per atom
M_tot = 0.0 μB/cell

=====

No. 5
Below is Y6CdSe4 after structural relaxation, with properties calculated at the PBE level.

Structure (CIF):
```
data_Y6CdSe4
_chemical_formula_sum 'Y12 Cd2 Se8'
_space_group_name_H-M_alt 'P 1'
_space_group_IT_number 1
_cell_length_a 4.078
_cell_length_b 7.040
_cell_length_c 20.824
_cell_angle_alpha 90.00
_cell_angle_beta 90.00
_cell_angle_gamma 106.84
loop_
_space_group_symop_operation_xyz
'x,y,z'
loop_
_atom_site_label
_atom_site_type_symbol
_atom_site_fract_x
_atom_site_fract_y
_atom_site_fract_z
Y1 Y 0.500 0.000 0.500
Y2 Y 0.339 0.679 0.250
Y3 Y 0.046 0.091 0.163
Se1 Se 0.410 0.820 0.123
Se2 Se 0.410 0.820 0.377
Y4 Y 0.954 0.909 0.837
Y5 Y 0.229 0.458 0.911
Y6 Y 0.046 0.091 0.337
Cd1 Cd 0.665 0.330 0.250
Y7 Y 0.500 0.000 0.000
Cd2 Cd 0.335 0.670 0.750
Y8 Y 0.229 0.458 0.589
Y9 Y 0.954 0.909 0.663
Y10 Y 0.661 0.321 0.750
Y11 Y 0.771 0.542 0.411
Se3 Se 0.590 0.180 0.877
Se4 Se 0.861 0.722 0.961
Y12 Y 0.771 0.542 0.089
Se5 Se 0.861 0.722 0.539
Se6 Se 0.139 0.278 0.039
Se7 Se 0.139 0.278 0.461
Se8 Se 0.590 0.180 0.623
```

symmetry = Cmcm, No. 63
crystal system = orthorhombic
E_form (uncorrected) = -1365 meV per atom
M_tot = 0.0 μB/cell

=====

No. 6
Below is YCd4Se after structural relaxation, with properties calculated at the PBE level.

Structure (CIF):
```
data_YCd4Se
_chemical_formula_sum 'Y1 Cd4 Se1'
_space_group_name_H-M_alt 'P 1'
_space_group_IT_number 1
_cell_length_a 5.912
_cell_length_b 5.912
_cell_length_c 5.912
_cell_angle_alpha 60.00
_cell_angle_beta 60.00
_cell_angle_gamma 60.00
loop_
_space_group_symop_operation_xyz
'x,y,z'
loop_
_atom_site_label
_atom_site_type_symbol
_atom_site_fract_x
_atom_site_fract_y
_atom_site_fract_z
Y1 Y 0.000 0.000 0.000
Cd1 Cd 0.375 0.375 0.375
Se1 Se 0.750 0.750 0.750
Cd2 Cd 0.375 0.375 0.875
Cd3 Cd 0.375 0.875 0.375
Cd4 Cd 0.875 0.375 0.375
```

symmetry = F-43m, No. 216
crystal system = cubic
E_form (uncorrected) = -83 meV per atom
M_tot = 0.0 μB/cell